1.
LiScNiAg | PBE-GGA | relaxed

Cell lengths 4.5181, 4.5181, 4.5181 Å; angles 60.00, 60.00, 60.00 degrees
With the nearest neighbours (Å) after each atom.
Fractional coordinates of all 4 atoms:
Ag  0.2500  0.2500  0.2500  4 Li 2.77, 4 Sc 2.77
Sc  0.0000  0.0000  0.0000  4 Ni 2.77, 4 Ag 2.77
Li  0.5000  0.5000  0.5000  4 Ni 2.77, 4 Ag 2.77
Ni  0.7500  0.7500  0.7500  4 Li 2.77, 4 Sc 2.77

Calculated values
ΔH_f (0 K) = -0.1630 eV/atom
electronic total energy = -4.383 eV per atom
spin magnetization = 0.00 μB/cell

=====

2.
Ti5Sb2As | PBE-GGA | relaxed

Cell lengths 3.9898, 6.9311, 10.6636 Å; angles 90.00, 90.00, 90.00 degrees
With the nearest neighbours (Å) after each atom.
Fractional coordinates of all 16 atoms:
Ti  0.0000  0.0000  0.5000  4 Sb 2.79, 4 Ti 2.95
Ti  0.0000  0.6344  0.7151  1 As 2.48
Ti  0.5000  0.2059  0.0719  2 As 2.57, 2 Sb 2.83-2.86
Ti  0.5000  0.7941  0.9281  2 As 2.57, 2 Sb 2.83-2.86
Ti  0.0000  0.1344  0.7849  1 As 2.48
Ti  0.0000  0.3656  0.2849  1 As 2.48
Ti  0.0000  0.8656  0.2151  1 As 2.48
Ti  0.5000  0.7059  0.4281  2 As 2.57, 2 Sb 2.83-2.86
Ti  0.5000  0.2941  0.5719  2 As 2.57, 2 Sb 2.83-2.86
Ti  0.0000  0.5000  0.0000  4 Sb 2.79, 4 Ti 2.95
Sb  0.5000  0.9117  0.6735  9 Ti 2.79-2.98
Sb  0.5000  0.0883  0.3265  9 Ti 2.79-2.98
Sb  0.5000  0.4117  0.8265  9 Ti 2.79-2.98
Sb  0.5000  0.5883  0.1735  9 Ti 2.79-2.98
As  0.0000  0.5000  0.5000  6 Ti 2.48-2.57
As  0.0000  0.0000  0.0000  6 Ti 2.48-2.57

Calculated values
energy above the most stable polymorph in this dataset = 0 meV/atom
E_form (uncorrected) = -0.5764 eV/atom
electronic total energy = -7.122 eV per atom
spin magnetization = 0.00 μB/cell

=====

3.
KNaS2O6 | PBE-GGA | relaxed

Cell lengths 7.1748, 7.1748, 6.5868 Å; angles 103.64, 103.64, 89.52 degrees
With the nearest neighbours (Å) after each atom.
Fractional coordinates of all 20 atoms:
S  0.6925  0.8663  0.2289  3 O 1.49-1.51
S  0.1337  0.3075  0.2711  3 O 1.49-1.51
S  0.8663  0.6925  0.7289  3 O 1.49-1.51
S  0.3075  0.1337  0.7711  3 O 1.49-1.51
O  0.7122  0.5344  0.6435  1 S 1.50
O  0.0586  0.6184  0.8044  1 S 1.49
O  0.8143  0.8520  0.8982  1 S 1.51
O  0.2878  0.4656  0.3565  1 S 1.50
O  0.1857  0.1480  0.1018  1 S 1.51
O  0.8520  0.8143  0.3982  1 S 1.51
O  0.3816  0.9414  0.6956  1 S 1.49
O  0.6184  0.0586  0.3044  1 S 1.49
O  0.9414  0.3816  0.1956  1 S 1.49
O  0.1480  0.1857  0.6018  1 S 1.51
O  0.4656  0.2878  0.8565  1 S 1.50
O  0.5344  0.7122  0.1435  1 S 1.50
Na  0.3948  0.6052  0.7500  6 O 2.48-2.55
Na  0.6052  0.3948  0.2500  6 O 2.48-2.55
K  0.1848  0.8152  0.2500  6 O 2.79-2.87
K  0.8152  0.1848  0.7500  6 O 2.79-2.87

Calculated values
E_form (uncorrected) = -1.4484 eV/atom
electronic total energy = -5.490 eV per atom
spin magnetization = 0.00 μB/cell

=====

4.
BaTl3 | PBE-GGA | relaxed

Cell lengths 5.7989, 5.7989, 5.7304 Å; angles 120.40, 120.40, 90.00 degrees
With the nearest neighbours (Å) after each atom.
Fractional coordinates of all 4 atoms:
Tl  0.5000  0.5000  0.0000  8 Tl 3.52
Tl  0.7500  0.2500  0.5000  4 Tl 3.52, 4 Ba 3.52
Tl  0.2500  0.7500  0.5000  4 Ba 3.52, 4 Tl 3.52
Ba  0.0000  0.0000  0.0000  8 Tl 3.52

Calculated values
ΔH_f (0 K) = -0.2736 eV/atom
electronic total energy = -2.529 eV per atom
spin magnetization = 0.00 μB/cell

=====

5.
ZnIr2Rh | PBE-GGA | relaxed

Cell lengths 4.7076, 4.7076, 4.6897 Å; angles 80.75, 80.75, 34.00 degrees
With the nearest neighbours (Å) after each atom.
Fractional coordinates of all 4 atoms:
Ir  0.9952  0.9952  0.0168  5 Ir 2.65-2.75, 4 Rh 2.70-2.74, 3 Zn 2.75-2.81
Ir  0.2506  0.2506  0.2355  5 Ir 2.65-2.75, 4 Zn 2.71-2.73, 3 Rh 2.74-2.80
Rh  0.5038  0.5038  0.5101  3 Zn 2.62-2.72, 7 Ir 2.70-2.80, 2 Rh 2.75
Zn  0.7504  0.7504  0.7377  3 Rh 2.62-2.72, 7 Ir 2.71-2.81, 2 Zn 2.75

Calculated values
ΔH_f (0 K) = -0.0978 eV/atom
electronic total energy = -6.685 eV per atom
spin magnetization = 0.00 μB/cell

=====

6.
Li2NpTl2Te4 | PBE-GGA | relaxed

Cell lengths 4.5426, 8.2026, 8.4865 Å; angles 110.41, 105.52, 90.00 degrees
With the nearest neighbours (Å) after each atom.
Fractional coordinates of all 9 atoms:
Te  0.4881  0.2422  0.9763  1 Li 2.76, 2 Np 3.07
Te  0.5119  0.7578  0.0237  1 Li 2.76, 2 Np 3.07
Te  0.7995  0.8062  0.5991  3 Li 2.77-2.83, 1 Np 3.08
Te  0.2005  0.1938  0.4009  3 Li 2.77-2.83, 1 Np 3.08
Tl  0.1382  0.5658  0.2763  7 Te 3.50-3.78, 1 Li 3.75
Tl  0.8618  0.4342  0.7237  7 Te 3.50-3.78, 1 Li 3.75
Np  0.0000  0.0000  0.0000  6 Te 3.07-3.08
Li  0.3171  0.0091  0.6341  4 Te 2.76-2.83
Li  0.6829  0.9909  0.3659  4 Te 2.76-2.83

Calculated values
E_form (uncorrected) = -0.6436 eV/atom
electronic total energy = -4.429 eV per atom
spin magnetization = 3.00 μB/cell

=====

7.
NaGa2Sn | PBE-GGA | relaxed

Cell lengths 4.4952, 4.4952, 10.0140 Å; angles 90.00, 90.00, 90.00 degrees
With the nearest neighbours (Å) after each atom.
Fractional coordinates of all 8 atoms:
Na  0.0000  0.5000  0.7512  1 Ga 2.90
Na  0.5000  0.0000  0.2488  1 Ga 2.90
Ga  0.0000  0.0000  0.5000  4 Sn 2.85, 4 Ga 3.18
Ga  0.5000  0.5000  0.5000  4 Sn 2.85, 4 Ga 3.18
Ga  0.5000  0.0000  0.9592  1 Sn 2.85, 1 Na 2.90
Ga  0.0000  0.5000  0.0408  1 Sn 2.85, 1 Na 2.90
Sn  0.5000  0.0000  0.6745  5 Ga 2.85
Sn  0.0000  0.5000  0.3255  5 Ga 2.85

Calculated values
ΔH_f (0 K) = -0.0228 eV/atom
electronic total energy = -2.867 eV per atom
spin magnetization = 0.00 μB/cell

=====

8.
SrYNb2 | PBE-GGA | relaxed

Cell lengths 5.2317, 5.2317, 5.2317 Å; angles 60.00, 60.00, 60.00 degrees
With the nearest neighbours (Å) after each atom.
Fractional coordinates of all 4 atoms:
Nb  0.7500  0.7500  0.7500  4 Sr 3.20, 4 Y 3.20
Nb  0.2500  0.2500  0.2500  4 Y 3.20, 4 Sr 3.20
Y  0.5000  0.5000  0.5000  8 Nb 3.20
Sr  0.0000  0.0000  0.0000  8 Nb 3.20

Calculated values
ΔH_f (0 K) = 1.0352 eV/atom
energy above the most stable polymorph in this dataset = 0 meV/atom
electronic total energy = -6.036 eV per atom
spin magnetization = 0.00 μB/cell